TcIr2Rh: PBEsol geometry, SCAN.

The structure belongs to space group I-4m2 (No. 119); the cell edges are 3.800, 3.800 and 7.657 Å and the angles 90.00°, 90.00° and 90.00°. The distinct sites, in fractional coordinates, are Tc at (0.000, 0.000, 0.000), Ir at (0.000, 0.000, 0.500), Ir at (0.000, 0.500, 0.750) and Rh at (0.000, 0.500, 0.250).

As for the crystal system: tetragonal. As for the total magnetization: 0.000 μB per atom. The calculation puts the density at 17.58 Mg/m³. The excess energy over the best structure of this formula in the dataset is 40 meV/atom. The calculation puts the energy of formation from the pure elements at -138 meV per atom. The value obtained for the total energy is -211.58 eV/f.u.